No. 1
# La3MoPb (PBEsol, optimized geometry)
data_La3MoPb
_space_group_name_H-M_alt 'P m -3 m'
_space_group_IT_number 221
_space_group_name_Hall '-P 4 2 3'
_cell_length_a 5.362
_cell_length_b 5.362
_cell_length_c 5.362
_cell_angle_alpha 90.00
_cell_angle_beta 90.00
_cell_angle_gamma 90.00
loop_
_atom_site_label
_atom_site_type_symbol
_atom_site_fract_x
_atom_site_fract_y
_atom_site_fract_z
La1 La 0.000 0.000 0.500
Mo1 Mo 0.000 0.000 0.000
Pb1 Pb 0.500 0.500 0.500
# **DFT total energy**: -6.37 eV per atom
# **DOS(E_F)**: 2.31 states/eV/f.u.
# **Formation energy from the elements**: -5 meV per atom

---

No. 2
# PPbI2O (PBEsol, optimized geometry)
data_PPbI2O
_space_group_name_H-M_alt 'P 4/m m m'
_space_group_IT_number 123
_space_group_name_Hall '-P 4 2'
_cell_length_a 6.107
_cell_length_b 6.107
_cell_length_c 4.117
_cell_angle_alpha 90.00
_cell_angle_beta 90.00
_cell_angle_gamma 90.00
loop_
_atom_site_label
_atom_site_type_symbol
_atom_site_fract_x
_atom_site_fract_y
_atom_site_fract_z
P1 P 0.000 0.000 0.000
Pb1 Pb 0.500 0.500 0.500
I1 I 0.000 0.500 0.500
O1 O 0.500 0.500 0.000
# **DFT total energy**: -3.23 eV per atom
# **DOS(E_F)**: 3.73 states/eV/f.u.
# **E above lowest polymorph**: 777 meV per atom
# **Raw formation energy**: 235 kJ/mol of formula units

---

Copy entry 1 word for word.
# La3MoPb (PBEsol, optimized geometry)
data_La3MoPb
_space_group_name_H-M_alt 'P m -3 m'
_space_group_IT_number 221
_space_group_name_Hall '-P 4 2 3'
_cell_length_a 5.362
_cell_length_b 5.362
_cell_length_c 5.362
_cell_angle_alpha 90.00
_cell_angle_beta 90.00
_cell_angle_gamma 90.00
loop_
_atom_site_label
_atom_site_type_symbol
_atom_site_fract_x
_atom_site_fract_y
_atom_site_fract_z
La1 La 0.000 0.000 0.500
Mo1 Mo 0.000 0.000 0.000
Pb1 Pb 0.500 0.500 0.500
# **DFT total energy**: -6.37 eV per atom
# **DOS(E_F)**: 2.31 states/eV/f.u.
# **Formation energy from the elements**: -5 meV per atom

---

Number 1 is which compound?
La3MoPb

---

What is the DFT total energy in the second record?
-3.23 eV per atom

---

Look up the DOS(E_F) of the second one.
3.73 states/eV/f.u.